No. 1
Below is crystalline Zr6InGa at its relaxed geometry, with properties calculated at the GGA-PBE level.

Cell: 5.5856 5.5856 5.5856 Å, 90.04 90.04 90.04°
Sites, in units of the cell vectors:
Zr (0.0002, 0.2527, 0.4999)
Zr (0.9998, 0.7473, 0.5001)
Zr (0.2527, 0.4999, 0.0002)
Zr (0.4999, 0.0002, 0.2527)
Zr (0.5001, 0.9998, 0.7473)
Zr (0.7473, 0.5001, 0.9998)
In (0.0000, 0.0000, 0.0000)
Ga (0.5000, 0.5000, 0.5000)

Computed properties:
Theoretical density in kg/m³: 6972
Space group: R-3 (148)
ΔE_f in eV/atom: -0.26



No. 2
Below is crystalline Zr5In4Ga at its relaxed geometry, with properties calculated at the GGA-PBE level.

Cell: 3.1370 3.1370 21.9148 Å, 90.00 90.00 90.00°
Sites, in units of the cell vectors:
Zr (0.0000, 0.0000, 0.0000)
Zr (0.0000, 0.0000, 0.2037)
Zr (0.0000, 0.0000, 0.4123)
Zr (0.0000, 0.0000, 0.5877)
Zr (0.0000, 0.0000, 0.7963)
In (0.5000, 0.5000, 0.1022)
In (0.5000, 0.5000, 0.3073)
In (0.5000, 0.5000, 0.6927)
In (0.5000, 0.5000, 0.8978)
Ga (0.5000, 0.5000, 0.5000)

Computed properties:
Theoretical density in kg/m³: 7585
Space group: P4/mmm (123)
ΔE_f in eV/atom: -0.36



No. 3
Below is crystalline Zr6InGa3 at its relaxed geometry, with properties calculated at the GGA-PBE level.

Cell: 7.4967 7.4967 7.4428 Å, 90.00 90.00 90.00°
Sites, in units of the cell vectors:
Zr (0.0069, 0.5024, 0.7500)
Zr (0.1684, 0.8316, 0.5100)
Zr (0.1684, 0.8316, 0.9900)
Zr (0.3152, 0.3152, 0.0000)
Zr (0.3152, 0.3152, 0.5000)
Zr (0.4976, 0.9931, 0.7500)
Zr (0.5024, 0.0069, 0.2500)
Zr (0.6848, 0.6848, 0.0000)
Zr (0.6848, 0.6848, 0.5000)
Zr (0.8316, 0.1684, 0.0100)
Zr (0.8316, 0.1684, 0.4900)
Zr (0.9931, 0.4976, 0.2500)
In (0.3739, 0.6261, 0.2500)
In (0.6261, 0.3739, 0.7500)
Ga (0.1184, 0.1270, 0.7500)
Ga (0.1270, 0.1184, 0.2500)
Ga (0.3731, 0.6269, 0.7500)
Ga (0.6269, 0.3731, 0.2500)
Ga (0.8730, 0.8816, 0.7500)
Ga (0.8816, 0.8730, 0.2500)

Computed properties:
Theoretical density in kg/m³: 6918
Space group: Cmcm (63)
ΔE_f in eV/atom: -0.45



No. 4
Below is crystalline Zr5InGa at its relaxed geometry, with properties calculated at the GGA-PBE level.

Cell: 5.9603 5.9603 10.7002 Å, 101.23 101.23 59.94°
Sites, in units of the cell vectors:
Zr (0.1182, 0.3429, 0.6710)
Zr (0.1546, 0.8454, 0.7500)
Zr (0.2545, 0.4455, 0.9570)
Zr (0.3429, 0.1182, 0.1710)
Zr (0.4455, 0.2545, 0.4570)
Zr (0.5545, 0.7455, 0.5430)
Zr (0.6571, 0.8818, 0.8290)
Zr (0.7455, 0.5545, 0.0430)
Zr (0.8454, 0.1546, 0.2500)
Zr (0.8818, 0.6571, 0.3290)
In (0.3527, 0.6473, 0.2500)
In (0.6473, 0.3527, 0.7500)
Ga (0.0000, 0.0000, 0.0000)
Ga (0.0000, 0.0000, 0.5000)

Computed properties:
Theoretical density in kg/m³: 6637
Space group: C2/c (15)
ΔE_f in eV/atom: -0.01



No. 5
Below is crystalline Zr3InGa2 at its relaxed geometry, with properties calculated at the GGA-PBE level.

Cell: 8.1349 8.1349 5.6789 Å, 101.70 101.70 41.97°
Sites, in units of the cell vectors:
Zr (0.1229, 0.8771, 0.7500)
Zr (0.1989, 0.4543, 0.4043)
Zr (0.4543, 0.1989, 0.9043)
Zr (0.5457, 0.8011, 0.0957)
Zr (0.8011, 0.5457, 0.5957)
Zr (0.8771, 0.1229, 0.2500)
In (0.3776, 0.6224, 0.2500)
In (0.6224, 0.3776, 0.7500)
Ga (0.0443, 0.2807, 0.0561)
Ga (0.2807, 0.0443, 0.5561)
Ga (0.7193, 0.9557, 0.4439)
Ga (0.9557, 0.7193, 0.9439)

Computed properties:
Theoretical density in kg/m³: 7147
Space group: C2/c (15)
ΔE_f in eV/atom: -0.39



No. 6
Below is crystalline Zr4InGa at its relaxed geometry, with properties calculated at the GGA-PBE level.

Cell: 6.8395 6.8395 5.6045 Å, 90.00 90.00 90.00°
Sites, in units of the cell vectors:
Zr (0.1414, 0.3392, 0.0000)
Zr (0.1414, 0.6608, 0.5000)
Zr (0.3392, 0.1414, 0.5000)
Zr (0.3392, 0.8586, 0.0000)
Zr (0.6608, 0.1414, 0.0000)
Zr (0.6608, 0.8586, 0.5000)
Zr (0.8586, 0.3392, 0.5000)
Zr (0.8586, 0.6608, 0.0000)
In (0.5000, 0.5000, 0.2500)
In (0.5000, 0.5000, 0.7500)
Ga (0.0000, 0.0000, 0.2500)
Ga (0.0000, 0.0000, 0.7500)

Computed properties:
Theoretical density in kg/m³: 6960
Space group: P4/mcc (124)
ΔE_f in eV/atom: -0.30



No. 7
Below is crystalline Zr2In2Ga at its relaxed geometry, with properties calculated at the GGA-PBE level.

Cell: 7.1378 7.1378 4.3381 Å, 90.00 90.00 90.00°
Sites, in units of the cell vectors:
Zr (0.1719, 0.3281, 0.0000)
Zr (0.3281, 0.8281, 0.0000)
Zr (0.6719, 0.1719, 0.0000)
Zr (0.8281, 0.6719, 0.0000)
In (0.1360, 0.6360, 0.5000)
In (0.3640, 0.1360, 0.5000)
In (0.6360, 0.8640, 0.5000)
In (0.8640, 0.3640, 0.5000)
Ga (0.0000, 0.0000, 0.5000)
Ga (0.5000, 0.5000, 0.5000)

Computed properties:
Theoretical density in kg/m³: 7240
Space group: P4/mbm (127)
ΔE_f in eV/atom: -0.10



No. 8
Below is crystalline ZrInGa at its relaxed geometry, with properties calculated at the GGA-PBE level.

Cell: 4.4630 5.8081 5.8744 Å, 63.85 67.81 89.84°
Sites, in units of the cell vectors:
Zr (0.1889, 0.2185, 0.1169)
Zr (0.8111, 0.7815, 0.8831)
In (0.4915, 0.2367, 0.5114)
In (0.5085, 0.7633, 0.4886)
Ga (0.1445, 0.6751, 0.2179)
Ga (0.8555, 0.3249, 0.7821)

Computed properties:
Theoretical density in kg/m³: 7381
Space group: P-1 (2)
ΔE_f in eV/atom: -0.25